No. 1
Material: BaGaSn2Ru2
Method: DFT, GGA-PBE
State: optimized geometry

abc: 4.711 4.711 6.391
angles: 90.00 90.00 90.00
Fractional positions:
Ba (0.000, 0.000, 0.000)
Ga (0.000, 0.000, 0.500)
Sn (0.500, 0.500, 0.254)
Sn (0.500, 0.500, 0.746)
Ru (0.000, 0.500, 0.500)
Ru (0.500, 0.000, 0.500)



No. 2
Material: CeScOs2
Method: DFT, GGA-PBE
State: optimized geometry

abc: 4.735 4.735 3.339
angles: 90.00 90.00 90.00
Fractional positions:
Ce (0.000, 0.000, 0.000)
Sc (0.500, 0.500, 0.000)
Os (0.000, 0.500, 0.500)
Os (0.500, 0.000, 0.500)



No. 3
Material: TbDy4
Method: DFT, GGA-PBE
State: optimized geometry

abc: 8.844 8.844 8.844
angles: 150.57 150.57 42.10
Fractional positions:
Tb (0.000, 0.000, 0.000)
Dy (0.250, 0.750, 0.500)
Dy (0.406, 0.406, 0.000)
Dy (0.594, 0.594, 0.000)
Dy (0.750, 0.250, 0.500)



No. 4
Material: CuHg2W
Method: DFT, GGA-PBE
State: optimized geometry

abc: 5.044 5.044 5.044
angles: 131.06 131.06 71.72
Fractional positions:
Cu (0.000, 0.000, 0.000)
Hg (0.250, 0.750, 0.500)
Hg (0.750, 0.250, 0.500)
W (0.500, 0.500, 0.000)



Final energy, record by record: -5.495, -8.926, -4.240, -3.503 eV per atom
Energy relative to the elements, record by record: -0.24, -0.24, 0.37, 0.91 eV per atom
Volume, record by record: 23.636, 18.717, 33.323, 17.851 Å³/atom